Model one:
Computed, not measured: a relaxed structure of Cs3NaHg2 at the PBE level of DFT.

SG = C2/m (12)
Total moment = 0.000 μB per cell

Cell: 10.9071 10.9071 14.0901 Å, 114.21 114.21 28.77°
Positions (direct):
Cs  0.0506  0.0506  0.2275
Cs  0.2211  0.2211  0.6150
Cs  0.3409  0.3409  0.9893
Cs  0.6591  0.6591  0.0107
Cs  0.7789  0.7789  0.3850
Cs  0.9494  0.9494  0.7725
Na  0.4307  0.4307  0.3499
Na  0.5693  0.5693  0.6501
Hg  0.1358  0.1358  0.8038
Hg  0.4008  0.4008  0.5604
Hg  0.5992  0.5992  0.4396
Hg  0.8642  0.8642  0.1962

Model two:
Computed, not measured: a relaxed structure of Cs3NaHg2 at the PBE level of DFT.

SG = P2_1/c (14)
Total moment = 0.000 μB per cell

Cell: 7.7325 15.0859 12.6562 Å, 90.00 109.02 90.00°
Positions (direct):
Cs  0.1587  0.2261  0.3268
Cs  0.1587  0.2739  0.8268
Cs  0.2291  0.5968  0.9813
Cs  0.2291  0.9032  0.4813
Cs  0.2799  0.5591  0.6004
Cs  0.2799  0.9409  0.1004
Cs  0.7201  0.0591  0.8996
Cs  0.7201  0.4409  0.3996
Cs  0.7709  0.0968  0.5187
Cs  0.7709  0.4032  0.0187
Cs  0.8413  0.7261  0.1732
Cs  0.8413  0.7739  0.6732
Na  0.4361  0.6860  0.3348
Na  0.4361  0.8140  0.8348
Na  0.5639  0.1860  0.1652
Na  0.5639  0.3140  0.6652
Hg  0.1803  0.5030  0.2735
Hg  0.1803  0.9970  0.7735
Hg  0.3304  0.1288  0.6322
Hg  0.3304  0.3712  0.1322
Hg  0.6696  0.6288  0.8678
Hg  0.6696  0.8712  0.3678
Hg  0.8197  0.0030  0.2265
Hg  0.8197  0.4970  0.7265

Tell me which of them is the least stable. Sure, it is model one.

Model one:
Computed, not measured: a relaxed structure of Cs4Na2Hg at the PBE level of DFT.

SG = C2/m (12)
Total moment = 0.000 μB per cell

Cell: 9.1625 9.1625 9.0964 Å, 113.55 113.55 45.23°
Positions (direct):
Cs  0.0457  0.0457  0.2683
Cs  0.3366  0.3366  0.2096
Cs  0.6634  0.6634  0.7904
Cs  0.9543  0.9543  0.7317
Na  0.3062  0.3062  0.6849
Na  0.6938  0.6938  0.3151
Hg  0.5000  0.5000  0.0000

Model two:
Computed, not measured: a relaxed structure of Cs4Na2Hg at the PBE level of DFT.

SG = I4/mmm (139)
Total moment = 0.002 μB per cell

Cell: 11.9291 11.9291 11.9291 Å, 144.36 144.36 51.29°
Positions (direct):
Cs  0.0000  0.5000  0.5000
Cs  0.1835  0.1835  0.0000
Cs  0.5000  0.0000  0.5000
Cs  0.8165  0.8165  0.0000
Na  0.3828  0.3828  0.0000
Na  0.6172  0.6172  0.0000
Hg  0.0000  0.0000  0.0000

Tell me which of them is the least stable. Sure, it is model two.

Model one:
Computed, not measured: a relaxed structure of CsNaHg2Pd at the PBE level of DFT.

SG = P4/mmm (123)
Total moment = 0.000 μB per cell

Cell: 5.4448 5.4448 6.2219 Å, 90.00 90.00 90.00°
Positions (direct):
Cs  0.0000  0.0000  0.0000
Na  0.5000  0.5000  0.0000
Hg  0.0000  0.5000  0.5000
Hg  0.5000  0.0000  0.5000
Pd  0.0000  0.0000  0.5000

Model two:
Computed, not measured: a relaxed structure of CsNaHg2Pd at the PBE level of DFT.

SG = P4/mmm (123)
Total moment = 0.000 μB per cell

Cell: 5.4906 5.4906 5.4852 Å, 90.00 90.00 90.00°
Positions (direct):
Cs  0.0000  0.0000  0.0000
Na  0.5000  0.5000  0.0000
Hg  0.0000  0.5000  0.5000
Hg  0.5000  0.0000  0.5000
Pd  0.5000  0.5000  0.5000

Tell me which of them is the least stable. Sure, it is model one.

Model one:
Computed, not measured: a relaxed structure of CsNa2HgPd at the PBE level of DFT.

SG = P4/mmm (123)
Total moment = 0.000 μB per cell

Cell: 5.6277 5.6277 5.5138 Å, 90.00 90.00 90.00°
Positions (direct):
Cs  0.0000  0.0000  0.0000
Na  0.0000  0.5000  0.5000
Na  0.5000  0.0000  0.5000
Hg  0.5000  0.5000  0.0000
Pd  0.5000  0.5000  0.5000

Model two:
Computed, not measured: a relaxed structure of CsNa2HgPd at the PBE level of DFT.

SG = P4/mmm (123)
Total moment = 0.000 μB per cell

Cell: 5.8158 5.8158 5.3821 Å, 90.00 90.00 90.00°
Positions (direct):
Cs  0.0000  0.0000  0.0000
Na  0.0000  0.5000  0.5000
Na  0.5000  0.0000  0.5000
Hg  0.5000  0.5000  0.5000
Pd  0.5000  0.5000  0.0000

Tell me which of them is the least stable. Sure, it is model two.

Model one:
Computed, not measured: a relaxed structure of CsRb2NaHg at the PBE level of DFT.

SG = P4/mmm (123)
Total moment = 0.000 μB per cell

Cell: 7.5566 7.5566 6.0805 Å, 90.00 90.00 90.00°
Positions (direct):
Cs  0.0000  0.0000  0.0000
Rb  0.0000  0.5000  0.5000
Rb  0.5000  0.0000  0.5000
Na  0.5000  0.5000  0.5000
Hg  0.5000  0.5000  0.0000

Model two:
Computed, not measured: a relaxed structure of CsRb2NaHg at the PBE level of DFT.

SG = P4/mmm (123)
Total moment = 0.000 μB per cell

Cell: 7.1716 7.1716 6.4470 Å, 90.00 90.00 90.00°
Positions (direct):
Cs  0.0000  0.0000  0.0000
Rb  0.0000  0.5000  0.5000
Rb  0.5000  0.0000  0.5000
Na  0.5000  0.5000  0.0000
Hg  0.5000  0.5000  0.5000

Tell me which of them is the least stable. Sure, it is model one.

Model one:
Computed, not measured: a relaxed structure of CsRbNaHg at the PBE level of DFT.

SG = Cm (8)
Total moment = 0.000 μB per cell

Cell: 5.5233 5.5233 9.6460 Å, 106.57 106.57 60.06°
Positions (direct):
Cs  0.0000  0.0000  0.0000
Rb  0.1840  0.1840  0.5524
Na  0.4308  0.4308  0.2920
Hg  0.7626  0.7626  0.2878

Model two:
Computed, not measured: a relaxed structure of CsRbNaHg at the PBE level of DFT.

SG = F-43m (216)
Total moment = 0.000 μB per cell

Cell: 6.7966 6.7966 6.7966 Å, 60.00 60.00 60.00°
Positions (direct):
Cs  0.0000  0.0000  0.0000
Rb  0.5000  0.5000  0.5000
Na  0.7500  0.7500  0.7500
Hg  0.2500  0.2500  0.2500

Tell me which of them is the least stable. Sure, it is model two.

Model one:
Computed, not measured: a relaxed structure of CsNaHg2Sb at the PBE level of DFT.

SG = P4/mmm (123)
Total moment = 0.000 μB per cell

Cell: 5.9392 5.9392 5.8376 Å, 90.00 90.00 90.00°
Positions (direct):
Cs  0.0000  0.0000  0.0000
Na  0.5000  0.5000  0.0000
Hg  0.0000  0.5000  0.5000
Hg  0.5000  0.0000  0.5000
Sb  0.5000  0.5000  0.5000

Model two:
Computed, not measured: a relaxed structure of CsNaHg2Sb at the PBE level of DFT.

SG = Imm2 (44)
Total moment = 0.000 μB per cell

Cell: 7.4177 7.4177 7.4177 Å, 140.22 137.34 59.74°
Positions (direct):
Cs  0.0000  0.0000  0.0000
Na  0.2392  0.7392  0.5000
Hg  0.3895  0.3895  0.0000
Hg  0.7518  0.2518  0.5000
Sb  0.6244  0.6244  0.0000

Tell me which of them is the least stable. Sure, it is model one.

Model one:
Computed, not measured: a relaxed structure of CsNa2HgSb at the PBE level of DFT.

SG = P4/mmm (123)
Total moment = 0.001 μB per cell

Cell: 6.0088 6.0088 6.0066 Å, 90.00 90.00 90.00°
Positions (direct):
Cs  0.0000  0.0000  0.0000
Na  0.0000  0.5000  0.5000
Na  0.5000  0.0000  0.5000
Hg  0.5000  0.5000  0.0000
Sb  0.5000  0.5000  0.5000

Model two:
Computed, not measured: a relaxed structure of CsNa2HgSb at the PBE level of DFT.

SG = P4/mmm (123)
Total moment = 0.000 μB per cell

Cell: 5.9696 5.9696 7.5456 Å, 90.00 90.00 90.00°
Positions (direct):
Cs  0.0000  0.0000  0.0000
Na  0.0000  0.5000  0.5000
Na  0.5000  0.0000  0.5000
Hg  0.5000  0.5000  0.0000
Sb  0.0000  0.0000  0.5000

Tell me which of them is the least stable. Sure, it is model one.

Model one:
Computed, not measured: a relaxed structure of CsNaHgSe at the PBE level of DFT.

SG = P4/nmm (129)
Total moment = 0.000 μB per cell

Cell: 4.8388 4.8388 12.9671 Å, 90.00 90.00 90.00°
Positions (direct):
Cs  0.2500  0.2500  0.2365
Cs  0.7500  0.7500  0.7635
Na  0.2500  0.7500  0.0000
Na  0.7500  0.2500  0.0000
Hg  0.2500  0.7500  0.5000
Hg  0.7500  0.2500  0.5000
Se  0.2500  0.2500  0.8696
Se  0.7500  0.7500  0.1304

Model two:
Computed, not measured: a relaxed structure of CsNaHgSe at the PBE level of DFT.

SG = F-43m (216)
Total moment = 0.000 μB per cell

Cell: 5.7885 5.7885 5.7885 Å, 60.00 60.00 60.00°
Positions (direct):
Cs  0.0000  0.0000  0.0000
Na  0.5000  0.5000  0.5000
Hg  0.7500  0.7500  0.7500
Se  0.2500  0.2500  0.2500

Tell me which of them is the least stable. Sure, it is model two.

Model one:
Computed, not measured: a relaxed structure of CsNa2SnHg at the PBE level of DFT.

SG = P4/mmm (123)
Total moment = 0.000 μB per cell

Cell: 6.0281 6.0281 5.5586 Å, 90.00 90.00 90.00°
Positions (direct):
Cs  0.0000  0.0000  0.0000
Na  0.0000  0.5000  0.5000
Na  0.5000  0.0000  0.5000
Sn  0.5000  0.5000  0.0000
Hg  0.5000  0.5000  0.5000

Model two:
Computed, not measured: a relaxed structure of CsNa2SnHg at the PBE level of DFT.

SG = P4/mmm (123)
Total moment = 0.000 μB per cell

Cell: 6.0037 6.0037 6.0466 Å, 90.00 90.00 90.00°
Positions (direct):
Cs  0.0000  0.0000  0.0000
Na  0.0000  0.5000  0.5000
Na  0.5000  0.0000  0.5000
Sn  0.5000  0.5000  0.5000
Hg  0.5000  0.5000  0.0000

Tell me which of them is the least stable. Sure, it is model one.

Model one:
Computed, not measured: a relaxed structure of Cs2NaTlHg at the PBE level of DFT.

SG = P4/mmm (123)
Total moment = 0.000 μB per cell

Cell: 7.3625 7.3625 6.0720 Å, 90.00 90.00 90.00°
Positions (direct):
Cs  0.0000  0.5000  0.0000
Cs  0.5000  0.0000  0.0000
Na  0.0000  0.0000  0.5000
Tl  0.0000  0.0000  0.0000
Hg  0.5000  0.5000  0.5000

Model two:
Computed, not measured: a relaxed structure of Cs2NaTlHg at the PBE level of DFT.

SG = P4/mmm (123)
Total moment = 0.000 μB per cell

Cell: 7.4218 7.4218 5.7719 Å, 90.00 90.00 90.00°
Positions (direct):
Cs  0.0000  0.5000  0.0000
Cs  0.5000  0.0000  0.0000
Na  0.0000  0.0000  0.5000
Tl  0.5000  0.5000  0.5000
Hg  0.5000  0.5000  0.0000

Model three:
Computed, not measured: a relaxed structure of Cs2NaTlHg at the PBE level of DFT.

SG = P4/mmm (123)
Total moment = 0.000 μB per cell

Cell: 7.1320 7.1320 5.8989 Å, 90.00 90.00 90.00°
Positions (direct):
Cs  0.0000  0.5000  0.0000
Cs  0.5000  0.0000  0.0000
Na  0.0000  0.0000  0.5000
Tl  0.5000  0.5000  0.5000
Hg  0.0000  0.0000  0.0000

Tell me which of them is the least stable. Sure, it is model three.

Model one:
Computed, not measured: a relaxed structure of CsNa2ZnHg at the PBE level of DFT.

SG = P4/mmm (123)
Total moment = 0.000 μB per cell

Cell: 5.9699 5.9699 5.6900 Å, 90.00 90.00 90.00°
Positions (direct):
Cs  0.0000  0.0000  0.0000
Na  0.0000  0.5000  0.5000
Na  0.5000  0.0000  0.5000
Zn  0.5000  0.5000  0.0000
Hg  0.5000  0.5000  0.5000

Model two:
Computed, not measured: a relaxed structure of CsNa2ZnHg at the PBE level of DFT.

SG = P4/mmm (123)
Total moment = 0.000 μB per cell

Cell: 5.8858 5.8858 5.7115 Å, 90.00 90.00 90.00°
Positions (direct):
Cs  0.0000  0.0000  0.0000
Na  0.0000  0.5000  0.5000
Na  0.5000  0.0000  0.5000
Zn  0.5000  0.5000  0.5000
Hg  0.5000  0.5000  0.0000

Tell me which of them is the least stable. Sure, it is model one.